1.
Below is a relaxed structure of CuGeSbTe2, with properties calculated at the PBEsol level.

Cell: 5.3222 5.3222 5.1864 Å, 90.00 90.00 90.00°
Space group P4/mmm (No. 123)
Unique sites:
Cu1 0.0000 0.0000 0.0000 [1 per cell]
Ge1 0.5000 0.5000 0.5000 [1 per cell]
Sb1 0.5000 0.5000 0.0000 [1 per cell]
Te1 0.0000 0.5000 0.5000 [2 per cell]

## Properties
E_form (uncorrected) = 0.922 eV per atom

***

2.
Below is a relaxed structure of ZnCuGe2Sb, with properties calculated at the PBEsol level.

Cell: 4.6371 4.6371 5.2594 Å, 90.00 90.00 90.00°
Space group P4/mmm (No. 123)
Unique sites:
Zn1 0.0000 0.0000 0.0000 [1 per cell]
Cu1 0.5000 0.5000 0.5000 [1 per cell]
Ge1 0.0000 0.5000 0.0000 [2 per cell]
Sb1 0.0000 0.0000 0.5000 [1 per cell]

## Properties
E_form (uncorrected) = 0.846 eV per atom

***

3.
Below is a relaxed structure of ScCuGe3, with properties calculated at the PBEsol level.

Cell: 4.9900 4.9900 4.9900 Å, 90.00 90.00 90.00°
Space group Pm-3m (No. 221)
Unique sites:
Sc1 0.0000 0.0000 0.0000 [1 per cell]
Cu1 0.5000 0.5000 0.5000 [1 per cell]
Ge1 0.0000 0.0000 0.5000 [3 per cell]

## Properties
E_form = 0.92 eV/atom

***

4.
Below is a relaxed structure of Sc3Cu4Ge4, with properties calculated at the PBEsol level.

Cell: 3.4181 4.0555 24.8186 Å, 90.00 90.00 90.00°
Space group Immm (No. 71)
Unique sites:
Sc1 0.0000 0.0000 0.0000 [2 per cell]
Sc2 0.0000 0.5000 0.1449 [4 per cell]
Cu1 0.0000 0.0000 0.2572 [4 per cell]
Cu2 0.0000 0.5000 0.4058 [4 per cell]
Ge1 0.0000 0.0000 0.4504 [4 per cell]
Ge2 0.0000 0.5000 0.3123 [4 per cell]

## Properties
E_form = -0.52 eV/atom

***

5.
Below is a relaxed structure of Sc3CuGe, with properties calculated at the PBEsol level.

Cell: 4.9744 4.9744 4.9744 Å, 90.00 90.00 90.00°
Space group Pm-3m (No. 221)
Unique sites:
Sc1 0.0000 0.0000 0.5000 [3 per cell]
Cu1 0.5000 0.5000 0.5000 [1 per cell]
Ge1 0.0000 0.0000 0.0000 [1 per cell]

## Properties
E_form = 0.24 eV/atom

***

6.
Below is a relaxed structure of Cu2GeSe3, with properties calculated at the PBEsol level.

Cell: 6.7399 11.7310 6.7881 Å, 90.00 109.33 90.00°
Space group Cc (No. 9)
Unique sites:
Cu1 0.0000 0.0833 0.0000 [4 per cell]
Cu2 0.0129 0.2529 0.5030 [4 per cell]
Ge1 0.0228 0.4124 0.0199 [4 per cell]
Se1 0.3774 0.0861 0.1294 [4 per cell]
Se2 0.3848 0.2524 0.6343 [4 per cell]
Se3 0.3977 0.4144 0.1300 [4 per cell]

## Properties
E_form (uncorrected) = -0.225 eV per atom
excess energy over the best structure of this formula in the dataset = 1 meV per atom

***

DOS(E_F) values, unit states/eV per atom, following the record order: 0.818, 0.422, 0.711, 0.391, 1.342, 0.069.